# Hf2NbMo

Hf2NbMo at its PBEsol-relaxed geometry (meta-GGA SCAN, Alexandria).

## Properties
energy of formation from the pure elements = 74 meV/atom
calculated volume = 73.3 Å³/f.u.
SG = Fm-3m

Unit cell a=4.6973 b=4.6973 c=4.6973 alpha=60.00 beta=60.00 gamma=60.00
With the nearest neighbours (Å) after each atom.
Positions (direct):
1 Nb 0.0000 0.0000 0.0000  8 Hf 2.88
2 Hf 0.2500 0.2500 0.2500  4 Nb 2.88, 4 Mo 2.88
3 Hf 0.7500 0.7500 0.7500  4 Mo 2.88, 4 Nb 2.88
4 Mo 0.5000 0.5000 0.5000  8 Hf 2.88

***

# HfZrNb2Mo

HfZrNb2Mo at its PBEsol-relaxed geometry (meta-GGA SCAN, Alexandria).

## Properties
energy of formation from the pure elements = 1552 meV/atom
calculated volume = 108.4 Å³/f.u.
SG = P4/mmm

Unit cell a=4.6588 b=4.8236 c=4.8236 alpha=90.00 beta=90.00 gamma=90.00
With the nearest neighbours (Å) after each atom.
Positions (direct):
1 Nb 0.0000 0.0000 0.5000  2 Zr 2.41
2 Nb 0.0000 0.5000 0.0000  2 Zr 2.41
3 Zr 0.0000 0.0000 0.0000  2 Mo 2.33, 4 Nb 2.41
4 Mo 0.5000 0.0000 0.0000  2 Zr 2.33
5 Hf 0.5000 0.5000 0.5000  8 Nb 3.35, 4 Mo 3.41

***

# HfMo3O

HfMo3O at its PBEsol-relaxed geometry (meta-GGA SCAN, Alexandria).

## Properties
total DFT energy (no corrections) = -1.17676 hartree per atom
calculated volume = 104.5 Å³/f.u.
SG = Pm-3m

Unit cell a=4.7099 b=4.7099 c=4.7099 alpha=90.00 beta=90.00 gamma=90.00
With the nearest neighbours (Å) after each atom.
Positions (direct):
1 Mo 0.0000 0.5000 0.0000  2 Hf 2.35
2 Mo 0.5000 0.0000 0.0000  2 Hf 2.35
3 Mo 0.0000 0.0000 0.5000  2 Hf 2.35
4 O 0.5000 0.5000 0.5000  12 Mo 3.33
5 Hf 0.0000 0.0000 0.0000  6 Mo 2.35

***

# HfMoO2

HfMoO2 at its PBEsol-relaxed geometry (meta-GGA SCAN, Alexandria).

## Properties
total DFT energy (no corrections) = -1.05080 hartree per atom
calculated volume = 43.1 Å³/f.u.
SG = Fm-3m

Unit cell a=3.9366 b=3.9366 c=3.9366 alpha=60.00 beta=60.00 gamma=60.00
With the nearest neighbours (Å) after each atom.
Positions (direct):
1 Hf 0.5000 0.5000 0.5000  8 O 2.41
2 O 0.2500 0.2500 0.2500  4 Hf 2.41, 4 Mo 2.41
3 O 0.7500 0.7500 0.7500  4 Hf 2.41, 4 Mo 2.41
4 Mo 0.0000 0.0000 0.0000  8 O 2.41

***

# HfTcMoOs2

HfTcMoOs2 at its PBEsol-relaxed geometry (meta-GGA SCAN, Alexandria).

## Properties
energy of formation from the pure elements = 1416 meV/atom
calculated volume = 95.8 Å³/f.u.
SG = P4/mmm

Unit cell a=4.5038 b=4.6112 c=4.6112 alpha=90.00 beta=90.00 gamma=90.00
With the nearest neighbours (Å) after each atom.
Positions (direct):
1 Mo 0.0000 0.0000 0.0000  2 Tc 2.25, 4 Os 2.31
2 Hf 0.5000 0.5000 0.5000  8 Os 3.22, 4 Tc 3.26
3 Os 0.0000 0.5000 0.0000  2 Mo 2.31
4 Os 0.0000 0.0000 0.5000  2 Mo 2.31
5 Tc 0.5000 0.0000 0.0000  2 Mo 2.25

***

# Hf3MoPd

Hf3MoPd at its PBEsol-relaxed geometry (meta-GGA SCAN, Alexandria).

## Properties
energy of formation from the pure elements = 826 meV/atom
calculated volume = 115.6 Å³/f.u.
SG = Pm-3m

Unit cell a=4.8714 b=4.8714 c=4.8714 alpha=90.00 beta=90.00 gamma=90.00
With the nearest neighbours (Å) after each atom.
Positions (direct):
1 Mo 0.0000 0.0000 0.0000  6 Hf 2.44
2 Hf 0.0000 0.5000 0.0000  2 Mo 2.44
3 Hf 0.5000 0.0000 0.0000  2 Mo 2.44
4 Hf 0.0000 0.0000 0.5000  2 Mo 2.44
5 Pd 0.5000 0.5000 0.5000  12 Hf 3.44

***

# Hf2TlMoPd

Hf2TlMoPd at its PBEsol-relaxed geometry (meta-GGA SCAN, Alexandria).

## Properties
energy of formation from the pure elements = 753 meV/atom
calculated volume = 116.7 Å³/f.u.
SG = P4/mmm

Unit cell a=4.8347 b=4.9121 c=4.9121 alpha=90.00 beta=90.00 gamma=90.00
With the nearest neighbours (Å) after each atom.
Positions (direct):
1 Hf 0.0000 0.0000 0.5000  2 Mo 2.46
2 Hf 0.0000 0.5000 0.0000  2 Mo 2.46
3 Pd 0.5000 0.0000 0.0000  2 Mo 2.42
4 Mo 0.0000 0.0000 0.0000  2 Pd 2.42, 4 Hf 2.46
5 Tl 0.5000 0.5000 0.5000  8 Hf 3.45, 4 Pd 3.47

***

# HfZn2MoPd

HfZn2MoPd at its PBEsol-relaxed geometry (meta-GGA SCAN, Alexandria).

## Properties
energy of formation from the pure elements = 1494 meV/atom
calculated volume = 109.2 Å³/f.u.
SG = P4/mmm

Unit cell a=4.5768 b=4.8841 c=4.8841 alpha=90.00 beta=90.00 gamma=90.00
With the nearest neighbours (Å) after each atom.
Positions (direct):
1 Zn 0.0000 0.0000 0.5000  2 Hf 2.44
2 Zn 0.0000 0.5000 0.0000  2 Hf 2.44
3 Pd 0.5000 0.5000 0.5000  8 Zn 3.35, 4 Mo 3.45
4 Mo 0.5000 0.0000 0.0000  2 Hf 2.29
5 Hf 0.0000 0.0000 0.0000  2 Mo 2.29, 4 Zn 2.44

***

# HfZnMoPd2

HfZnMoPd2 at its PBEsol-relaxed geometry (meta-GGA SCAN, Alexandria).

## Properties
energy of formation from the pure elements = 892 meV/atom
calculated volume = 92.3 Å³/f.u.
SG = P4/mmm

Unit cell a=4.3847 b=4.3847 c=4.7995 alpha=90.00 beta=90.00 gamma=90.00
With the nearest neighbours (Å) after each atom.
Positions (direct):
1 Hf 0.0000 0.0000 0.5000  2 Zn 2.40
2 Pd 0.5000 0.0000 0.0000  2 Zn 2.19
3 Pd 0.0000 0.5000 0.0000  2 Zn 2.19
4 Zn 0.0000 0.0000 0.0000  4 Pd 2.19, 2 Hf 2.40
5 Mo 0.5000 0.5000 0.5000  4 Hf 3.10, 8 Pd 3.25

***

# HfMo2PtW

HfMo2PtW at its PBEsol-relaxed geometry (meta-GGA SCAN, Alexandria).

## Properties
energy of formation from the pure elements = 1521 meV/atom
calculated volume = 104.6 Å³/f.u.
SG = P4/mmm

Unit cell a=4.6978 b=4.6978 c=4.7397 alpha=90.00 beta=90.00 gamma=90.00
With the nearest neighbours (Å) after each atom.
Positions (direct):
1 Mo 0.0000 0.5000 0.0000  2 Pt 2.35
2 Mo 0.5000 0.0000 0.0000  2 Pt 2.35
3 Pt 0.0000 0.0000 0.0000  4 Mo 2.35, 2 W 2.37
4 Hf 0.5000 0.5000 0.5000  4 W 3.32, 8 Mo 3.34
5 W 0.0000 0.0000 0.5000  2 Pt 2.37

***

# HfReMo2

HfReMo2 at its PBEsol-relaxed geometry (meta-GGA SCAN, Alexandria).

## Properties
energy of formation from the pure elements = -170 meV/atom
calculated volume = 63.6 Å³/f.u.
SG = Fm-3m

Unit cell a=4.4795 b=4.4795 c=4.4795 alpha=60.00 beta=60.00 gamma=60.00
With the nearest neighbours (Å) after each atom.
Positions (direct):
1 Re 0.5000 0.5000 0.5000  8 Mo 2.74
2 Mo 0.7500 0.7500 0.7500  4 Hf 2.74, 4 Re 2.74
3 Mo 0.2500 0.2500 0.2500  4 Re 2.74, 4 Hf 2.74
4 Hf 0.0000 0.0000 0.0000  8 Mo 2.74

***

# Hf3MoS

Hf3MoS at its PBEsol-relaxed geometry (meta-GGA SCAN, Alexandria).

## Properties
total DFT energy (no corrections) = -1.67825 hartree per atom
calculated volume = 119.8 Å³/f.u.
SG = Pm-3m

Unit cell a=4.9291 b=4.9291 c=4.9291 alpha=90.00 beta=90.00 gamma=90.00
With the nearest neighbours (Å) after each atom.
Positions (direct):
1 S 0.5000 0.5000 0.5000  12 Hf 3.49
2 Hf 0.0000 0.5000 0.0000  2 Mo 2.46
3 Hf 0.0000 0.0000 0.5000  2 Mo 2.46
4 Hf 0.5000 0.0000 0.0000  2 Mo 2.46
5 Mo 0.0000 0.0000 0.0000  6 Hf 2.46

***

Question: Among the records above, which one has the highest calculated volume?
Answer: Hf3MoS